[1]
NaNdFeTe3 after structural relaxation, computed with PBE.

The electronic total energy is -4.749 eV/atom.

The space group is Cmcm (No. 63) and the conventional cell measures 4.358, 14.579 and 11.760 Å, with angles of 90.00, 90.00 and 90.00 degrees. The distinct sites, in fractional coordinates, are Na at (0.000, 0.242, 0.250), Nd at (0.000, 0.000, 0.000), Fe at (0.000, 0.471, 0.750), Te at (0.000, 0.082, 0.750) and Te at (0.000, 0.357, 0.577).

***

[2]
NaNdFeTe3 after structural relaxation, computed with PBE.

The electronic total energy is -4.775 eV/atom.

The space group is P2_1/m (No. 11) and the conventional cell measures 9.073, 4.285 and 10.076 Å, with angles of 90.00, 102.97 and 90.00 degrees. The distinct sites, in fractional coordinates, are Na at (0.204, 0.250, 0.251), Nd at (0.323, 0.750, 0.852), Fe at (0.065, 0.250, 0.577), Te at (0.067, 0.250, 0.841), Te at (0.229, 0.750, 0.524) and Te at (0.431, 0.750, 0.172).

***

[3]
NaFeNiS3 after structural relaxation, computed with PBE.

The electronic total energy is -5.120 eV/atom.

The space group is P2_1/m (No. 11) and the conventional cell measures 6.937, 3.413 and 9.034 Å, with angles of 90.00, 108.76 and 90.00 degrees. The distinct sites, in fractional coordinates, are Na at (0.005, 0.250, 0.286), Fe at (0.496, 0.750, 0.359), Ni at (0.427, 0.250, 0.111), S at (0.226, 0.750, 0.134), S at (0.292, 0.750, 0.511) and S at (0.345, 0.250, 0.835).

***

[4]
NaFeOs after structural relaxation, computed with PBE.

The electronic total energy is -4.795 eV/atom.

The space group is F-43m (No. 216) and the conventional cell measures 6.002, 6.002 and 6.002 Å, with angles of 90.00, 90.00 and 90.00 degrees. The distinct sites, in fractional coordinates, are Na at (0.000, 0.000, 0.000), Fe at (0.250, 0.250, 0.750) and Os at (0.250, 0.250, 0.250).

***

[5]
NaFeOs after structural relaxation, computed with PBE.

The electronic total energy is -5.739 eV/atom.

The space group is F-43m (No. 216) and the conventional cell measures 5.720, 5.720 and 5.720 Å, with angles of 90.00, 90.00 and 90.00 degrees. The distinct sites, in fractional coordinates, are Na at (0.000, 0.000, 0.000), Fe at (0.250, 0.250, 0.250) and Os at (0.000, 0.000, 0.500).

***

[6]
Na2FeP2Os after structural relaxation, computed with PBE.

The electronic total energy is -5.909 eV/atom.

The space group is P-4m2 (No. 115) and the conventional cell measures 3.906, 3.906 and 6.669 Å, with angles of 90.00, 90.00 and 90.00 degrees. The distinct sites, in fractional coordinates, are Na at (0.000, 0.500, 0.144), Fe at (0.500, 0.500, 0.500), P at (0.000, 0.500, 0.683) and Os at (0.000, 0.000, 0.500).

***

[7]
RbNaFeOs after structural relaxation, computed with PBE.

The electronic total energy is -3.955 eV/atom.

The space group is F-43m (No. 216) and the conventional cell measures 6.854, 6.854 and 6.854 Å, with angles of 90.00, 90.00 and 90.00 degrees. The distinct sites, in fractional coordinates, are Rb at (0.000, 0.000, 0.000), Na at (0.250, 0.250, 0.750), Fe at (0.000, 0.000, 0.500) and Os at (0.250, 0.250, 0.250).

***

[8]
RbNaFeOs after structural relaxation, computed with PBE.

The electronic total energy is -3.463 eV/atom.

The space group is F-43m (No. 216) and the conventional cell measures 7.314, 7.314 and 7.314 Å, with angles of 90.00, 90.00 and 90.00 degrees. The distinct sites, in fractional coordinates, are Rb at (0.000, 0.000, 0.000), Na at (0.000, 0.000, 0.500), Fe at (0.250, 0.250, 0.750) and Os at (0.250, 0.250, 0.250).

***

[9]
RbNaFeOs after structural relaxation, computed with PBE.

The electronic total energy is -3.944 eV/atom.

The space group is F-43m (No. 216) and the conventional cell measures 6.891, 6.891 and 6.891 Å, with angles of 90.00, 90.00 and 90.00 degrees. The distinct sites, in fractional coordinates, are Rb at (0.000, 0.000, 0.000), Na at (0.250, 0.250, 0.750), Fe at (0.250, 0.250, 0.250) and Os at (0.000, 0.000, 0.500).

***

[10]
NaFe3P5 after structural relaxation, computed with PBE.

The electronic total energy is -6.001 eV/atom.

The space group is P6/mmm (No. 191) and the conventional cell measures 4.8336, 4.8336 and 7.4220 Å, with angles of 90.00, 90.00 and 120.00 degrees. The distinct sites, in fractional coordinates, are Na at (0.0000, 0.0000, 0.0000), Fe at (0.0000, 0.5000, 0.5000), P at (0.0000, 0.0000, 0.5000) and P at (0.3333, 0.6667, 0.2575).

***

[11]
NaFe2P2Pd after structural relaxation, computed with PBE.

The electronic total energy is -6.089 eV/atom.

The space group is P4mm (No. 99) and the conventional cell measures 3.657, 3.657 and 6.204 Å, with angles of 90.00, 90.00 and 90.00 degrees. The distinct sites, in fractional coordinates, are Na at (0.000, 0.000, 0.000), Fe at (0.000, 0.500, 0.624), P at (0.000, 0.000, 0.428), P at (0.500, 0.500, 0.835) and Pd at (0.500, 0.500, 0.273).

***

[12]
RbNaFe2P2 after structural relaxation, computed with PBE.

The electronic total energy is -5.394 eV/atom.

The space group is P4mm (No. 99) and the conventional cell measures 3.790, 3.790 and 9.452 Å, with angles of 90.00, 90.00 and 90.00 degrees. The distinct sites, in fractional coordinates, are Rb at (0.000, 0.000, 0.000), Na at (0.500, 0.500, 0.591), Fe at (0.000, 0.500, 0.335), P at (0.000, 0.000, 0.454) and P at (0.500, 0.500, 0.216).

***

[13]
NaFePS4 after structural relaxation, computed with PBE.

The electronic total energy is -5.002 eV/atom.

The space group is I4/mcm (No. 140) and the conventional cell measures 7.334, 7.334 and 12.092 Å, with angles of 90.00, 90.00 and 90.00 degrees. The distinct sites, in fractional coordinates, are Na at (0.000, 0.000, 0.250), Fe at (0.000, 0.500, 0.000), P at (0.000, 0.500, 0.250) and S at (0.149, 0.351, 0.135).

***

[14]
NaFe3Pb5 after structural relaxation, computed with PBE.

The electronic total energy is -4.785 eV/atom.

The space group is P6/mmm (No. 191) and the conventional cell measures 5.4501, 5.4501 and 8.5182 Å, with angles of 90.00, 90.00 and 120.00 degrees. The distinct sites, in fractional coordinates, are Na at (0.0000, 0.0000, 0.0000), Fe at (0.0000, 0.5000, 0.5000), Pb at (0.0000, 0.0000, 0.5000) and Pb at (0.3333, 0.6667, 0.2136).

***

[15]
NaFePbSe3 after structural relaxation, computed with PBE.

The electronic total energy is -4.439 eV/atom.

The space group is P2_1/m (No. 11) and the conventional cell measures 8.174, 4.004 and 10.005 Å, with angles of 90.00, 100.17 and 90.00 degrees. The distinct sites, in fractional coordinates, are Na at (0.248, 0.250, 0.293), Fe at (0.064, 0.250, 0.587), Pb at (0.316, 0.750, 0.872), Se at (0.029, 0.250, 0.813), Se at (0.221, 0.750, 0.540) and Se at (0.430, 0.750, 0.163).

***

[16]
NaTaFePb after structural relaxation, computed with PBE.

The electronic total energy is -5.697 eV/atom.

The space group is F-43m (No. 216) and the conventional cell measures 6.457, 6.457 and 6.457 Å, with angles of 90.00, 90.00 and 90.00 degrees. The distinct sites, in fractional coordinates, are Na at (0.000, 0.000, 0.000), Ta at (0.250, 0.250, 0.750), Fe at (0.000, 0.000, 0.500) and Pb at (0.250, 0.250, 0.250).

***

[17]
NaTaFePb after structural relaxation, computed with PBE.

The electronic total energy is -5.628 eV/atom.

The space group is F-43m (No. 216) and the conventional cell measures 6.741, 6.741 and 6.741 Å, with angles of 90.00, 90.00 and 90.00 degrees. The distinct sites, in fractional coordinates, are Na at (0.000, 0.000, 0.000), Ta at (0.000, 0.000, 0.500), Fe at (0.250, 0.250, 0.750) and Pb at (0.250, 0.250, 0.250).

***

[18]
NaFeTe3Pd after structural relaxation, computed with PBE.

The electronic total energy is -4.336 eV/atom.

The space group is P2_1/m (No. 11) and the conventional cell measures 7.728, 3.875 and 10.033 Å, with angles of 90.00, 109.38 and 90.00 degrees. The distinct sites, in fractional coordinates, are Na at (0.239, 0.250, 0.298), Fe at (0.300, 0.750, 0.837), Te at (0.101, 0.250, 0.886), Te at (0.288, 0.750, 0.579), Te at (0.454, 0.750, 0.120) and Pd at (0.061, 0.250, 0.615).

***

[19]
NaFeTe3Pd after structural relaxation, computed with PBE.

The electronic total energy is -4.337 eV/atom.

The space group is Pnma (No. 62) and the conventional cell measures 13.597, 3.904 and 10.474 Å, with angles of 90.00, 90.00 and 90.00 degrees. The distinct sites, in fractional coordinates, are Na at (0.213, 0.250, 0.067), Fe at (0.017, 0.250, 0.325), Te at (0.085, 0.250, 0.567), Te at (0.109, 0.750, 0.856), Te at (0.146, 0.750, 0.296) and Pd at (0.023, 0.750, 0.099).

***

[20]
NaPmFe after structural relaxation, computed with PBE.

The electronic total energy is -3.999 eV/atom.

The space group is F-43m (No. 216) and the conventional cell measures 6.820, 6.820 and 6.820 Å, with angles of 90.00, 90.00 and 90.00 degrees. The distinct sites, in fractional coordinates, are Na at (0.000, 0.000, 0.000), Pm at (0.000, 0.000, 0.500) and Fe at (0.250, 0.250, 0.250).